Density functional theory data (GGA+U) for a geometry-optimized TaWO2 structure.

Output
offset from the most stable computed form = 4.49 eV per formula unit
total moment = 0.0393 μB/atom

a = 5.7434 Å, b = 5.7434 Å, c = 5.7434 Å
α = 90.00°, β = 90.00°, γ = 90.00°
Last column: nearest neighbours and their distance in Å.
Space group Fm-3m (No. 225)
Unique sites:
Ta 0.0000 0.0000 0.0000 x4  8 O 2.49
W 0.0000 0.0000 0.5000 x4  8 O 2.49
O 0.2500 0.2500 0.2500 x8  4 Ta 2.49, 4 W 2.49